Compound: Sc3AgN
Source: Alexandria
Functional: PBE-GGA
Structure: relaxed

Cell and atoms, written as POSCAR:
```
Sc3AgN
1.0
5.247 -6.142 0.000
5.247 6.142 0.000
-0.010 0.000 5.560
Sc Ag N
12 4 4
Direct
0.057 0.719 0.926 Sc
0.191 0.571 0.421 Sc
0.281 0.943 0.574 Sc
0.316 0.452 0.916 Sc
0.429 0.809 0.079 Sc
0.452 0.316 0.416 Sc
0.548 0.684 0.584 Sc
0.571 0.191 0.921 Sc
0.684 0.548 0.084 Sc
0.719 0.057 0.426 Sc
0.809 0.429 0.579 Sc
0.943 0.281 0.074 Sc
0.078 0.212 0.591 Ag
0.212 0.078 0.091 Ag
0.788 0.922 0.909 Ag
0.922 0.788 0.409 Ag
0.300 0.700 0.750 N
0.438 0.562 0.250 N
0.562 0.438 0.750 N
0.700 0.300 0.250 N
```

Computed properties:
**ΔE to the lowest computed polymorph**: 116.0 meV/atom
**Raw formation energy**: -0.803 eV/atom

***

Compound: CsAl3Rh
Source: Alexandria
Functional: PBE-GGA
Structure: relaxed

Cell and atoms, written as POSCAR:
```
CsAl3Rh
1.0
5.607 0.000 0.000
0.000 5.607 0.000
0.000 0.000 5.607
Cs Al Rh
1 3 1
Direct
0.000 0.000 0.000 Cs
0.000 0.000 0.500 Al
0.000 0.500 0.000 Al
0.500 0.000 0.000 Al
0.500 0.500 0.500 Rh
```

Computed properties:
**ΔE to the lowest computed polymorph**: 2452.2 meV/atom

***

Compound: CrBTe2
Source: Alexandria
Functional: PBE-GGA
Structure: relaxed

Cell and atoms, written as POSCAR:
```
CrBTe2
1.0
1.704 0.984 7.914
-1.704 0.984 7.914
0.000 -1.968 7.914
Cr B Te
1 1 2
Direct
0.000 0.000 0.000 Cr
0.500 0.500 0.500 B
0.104 0.104 0.104 Te
0.896 0.896 0.896 Te
```

Computed properties:
**Raw formation energy**: 1.235 eV/atom

***

Compound: TiCrPd2
Source: Alexandria
Functional: PBE-GGA
Structure: relaxed

Cell and atoms, written as POSCAR:
```
TiCrPd2
1.0
0.000 3.103 3.103
3.103 0.000 3.103
3.103 3.103 0.000
Ti Cr Pd
1 1 2
Direct
0.000 0.000 0.000 Ti
0.500 0.500 0.500 Cr
0.250 0.250 0.250 Pd
0.750 0.750 0.750 Pd
```

Computed properties:
**ΔE to the lowest computed polymorph**: 349.8 meV/atom